Below is Pr4Te2AsP after structural relaxation, with properties calculated at the PBE level.

The structure in extended XYZ format:
```
8
Lattice="7.505 0.000 0.000 0.000 4.339 0.000 -2.511 0.000 7.387" Properties=species:S:1:pos:R:3 pbc="T T T"
Pr 1.214 0.000 1.596
Pr -0.047 2.169 5.772
Pr 5.040 2.169 1.615
Pr 3.779 0.000 5.791
Te -1.256 0.000 3.694
Te 2.497 2.169 3.694
As 3.752 0.000 0.000
P 0.000 2.169 0.000
```

Results
final energy	-5.988	eV/atom
V	30.068	Å³ per atom
E_form (uncorrected)	-1.555	eV per atom